# AsSe2 | Alexandria | PBE | relaxed
# Total moment: 0.00 Bohr magnetons per cell
# Fermi-level density of states: 6.8 states/eV per cell
# SG: P6_3/mmc
# Formation energy from raw total energies: 0.194 eV/atom
data_AsSe2
_space_group_name_H-M_alt 'P 1'
_space_group_IT_number 1
_cell_length_a 7.6750
_cell_length_b 7.6750
_cell_length_c 7.0466
_cell_angle_alpha 90.00
_cell_angle_beta 90.00
_cell_angle_gamma 120.00
loop_
_space_group_symop_operation_xyz
'x,y,z'
loop_
_atom_site_label
_atom_site_type_symbol
_atom_site_fract_x
_atom_site_fract_y
_atom_site_fract_z
As1 As 0.3333 0.6667 0.0696
As2 As 0.3333 0.6667 0.4304
As3 As 0.6667 0.3333 0.5696
As4 As 0.6667 0.3333 0.9304
Se1 Se 0.0000 0.0000 0.0000
Se2 Se 0.0000 0.0000 0.5000
Se3 Se 0.1678 0.3356 0.2500
Se4 Se 0.1678 0.8322 0.2500
Se5 Se 0.3356 0.1678 0.7500
Se6 Se 0.6644 0.8322 0.2500
Se7 Se 0.8322 0.1678 0.7500
Se8 Se 0.8322 0.6644 0.7500


# InNiP2 | Alexandria | PBE | relaxed
# Total moment: 0.00 Bohr magnetons per cell
# Fermi-level density of states: 1.7 states/eV per cell
# SG: Cmmm
# Energy of formation from the pure elements: 382 meV per atom
data_InNiP2
_space_group_name_H-M_alt 'P 1'
_space_group_IT_number 1
_cell_length_a 4.3686
_cell_length_b 4.3686
_cell_length_c 3.5746
_cell_angle_alpha 90.00
_cell_angle_beta 90.00
_cell_angle_gamma 106.86
loop_
_space_group_symop_operation_xyz
'x,y,z'
loop_
_atom_site_label
_atom_site_type_symbol
_atom_site_fract_x
_atom_site_fract_y
_atom_site_fract_z
In1 In 0.0000 0.0000 0.0000
Ni1 Ni 0.5000 0.5000 0.0000
P1 P 0.0000 0.5000 0.5000
P2 P 0.5000 0.0000 0.5000


# SiPN3 | Alexandria | PBE | relaxed
# Total moment: 0.00 Bohr magnetons per cell
# Fermi-level density of states: 1.9 states/eV per cell
# SG: Pm-3m
# Formation energy from raw total energies: 1.023 eV/atom
data_SiPN3
_space_group_name_H-M_alt 'P 1'
_space_group_IT_number 1
_cell_length_a 3.4840
_cell_length_b 3.4840
_cell_length_c 3.4840
_cell_angle_alpha 90.00
_cell_angle_beta 90.00
_cell_angle_gamma 90.00
loop_
_space_group_symop_operation_xyz
'x,y,z'
loop_
_atom_site_label
_atom_site_type_symbol
_atom_site_fract_x
_atom_site_fract_y
_atom_site_fract_z
Si1 Si 0.0000 0.0000 0.0000
P1 P 0.5000 0.5000 0.5000
N1 N 0.0000 0.5000 0.5000
N2 N 0.5000 0.0000 0.5000
N3 N 0.5000 0.5000 0.0000


# NiHCl | Alexandria | PBE | relaxed
# Total moment: 0.00 Bohr magnetons per cell
# SG: P-1
# E above lowest polymorph: 0 meV/atom
data_NiHCl
_space_group_name_H-M_alt 'P 1'
_space_group_IT_number 1
_cell_length_a 3.2682
_cell_length_b 3.5443
_cell_length_c 7.9334
_cell_angle_alpha 91.56
_cell_angle_beta 91.30
_cell_angle_gamma 108.75
loop_
_space_group_symop_operation_xyz
'x,y,z'
loop_
_atom_site_label
_atom_site_type_symbol
_atom_site_fract_x
_atom_site_fract_y
_atom_site_fract_z
Ni1 Ni 0.2193 0.3938 0.1043
Ni2 Ni 0.7807 0.6062 0.8957
H1 H 0.1132 0.7894 0.0473
H2 H 0.8868 0.2106 0.9527
Cl1 Cl 0.3253 0.7180 0.7129
Cl2 Cl 0.6747 0.2820 0.2871


# Tl4RhBr2 | Alexandria | PBE | relaxed
# Total moment: 0.00 Bohr magnetons per cell
# Fermi-level density of states: 1.9 states/eV per cell
# SG: I4/mmm
# Formation energy from raw total energies: -0.386 eV/atom
data_Tl4RhBr2
_space_group_name_H-M_alt 'P 1'
_space_group_IT_number 1
_cell_length_a 9.3891
_cell_length_b 9.3891
_cell_length_c 9.3891
_cell_angle_alpha 147.31
_cell_angle_beta 147.31
_cell_angle_gamma 46.90
loop_
_space_group_symop_operation_xyz
'x,y,z'
loop_
_atom_site_label
_atom_site_type_symbol
_atom_site_fract_x
_atom_site_fract_y
_atom_site_fract_z
Tl1 Tl 0.0000 0.5000 0.5000
Tl2 Tl 0.1617 0.1617 0.0000
Tl3 Tl 0.5000 0.0000 0.5000
Tl4 Tl 0.8383 0.8383 0.0000
Rh1 Rh 0.0000 0.0000 0.0000
Br1 Br 0.3540 0.3540 0.0000
Br2 Br 0.6460 0.6460 0.0000


# SnRhSe | Alexandria | PBE | relaxed
# Total moment: 0.00 Bohr magnetons per cell
# Fermi-level density of states: 3.3 states/eV per cell
# SG: P2_1/m
# Formation energy from raw total energies: -0.308 eV/atom
data_SnRhSe
_space_group_name_H-M_alt 'P 1'
_space_group_IT_number 1
_cell_length_a 4.8423
_cell_length_b 4.1993
_cell_length_c 6.5586
_cell_angle_alpha 90.00
_cell_angle_beta 108.02
_cell_angle_gamma 90.00
loop_
_space_group_symop_operation_xyz
'x,y,z'
loop_
_atom_site_label
_atom_site_type_symbol
_atom_site_fract_x
_atom_site_fract_y
_atom_site_fract_z
Sn1 Sn 0.2477 0.2500 0.4572
Sn2 Sn 0.7523 0.7500 0.5428
Rh1 Rh 0.3362 0.7500 0.7466
Rh2 Rh 0.6638 0.2500 0.2534
Se1 Se 0.2245 0.2500 0.9288
Se2 Se 0.7755 0.7500 0.0712


# PmBiRh | Alexandria | PBE | relaxed
# Total moment: 0.00 Bohr magnetons per cell
# Fermi-level density of states: 2.9 states/eV per cell
# SG: C2/m
# E above lowest polymorph: 235 meV/atom
# Energy of formation from the pure elements: -481 meV per atom
data_PmBiRh
_space_group_name_H-M_alt 'P 1'
_space_group_IT_number 1
_cell_length_a 4.1666
_cell_length_b 4.1666
_cell_length_c 9.0057
_cell_angle_alpha 94.08
_cell_angle_beta 94.08
_cell_angle_gamma 87.78
loop_
_space_group_symop_operation_xyz
'x,y,z'
loop_
_atom_site_label
_atom_site_type_symbol
_atom_site_fract_x
_atom_site_fract_y
_atom_site_fract_z
Pm1 Pm 0.1786 0.1786 0.1765
Pm2 Pm 0.8214 0.8214 0.8235
Bi1 Bi 0.2573 0.2573 0.5715
Bi2 Bi 0.7427 0.7427 0.4285
Rh1 Rh 0.3529 0.3529 0.8742
Rh2 Rh 0.6471 0.6471 0.1258


# AcLaThPt3 | Alexandria | PBE | relaxed
# Total moment: 0.00 Bohr magnetons per cell
# Fermi-level density of states: 9.4 states/eV per cell
# SG: P2_1/m
# Energy of formation from the pure elements: -1068 meV per atom
data_AcLaThPt3
_space_group_name_H-M_alt 'P 1'
_space_group_IT_number 1
_cell_length_a 7.0718
_cell_length_b 4.4851
_cell_length_c 10.6343
_cell_angle_alpha 90.00
_cell_angle_beta 90.31
_cell_angle_gamma 90.00
loop_
_space_group_symop_operation_xyz
'x,y,z'
loop_
_atom_site_label
_atom_site_type_symbol
_atom_site_fract_x
_atom_site_fract_y
_atom_site_fract_z
Ac1 Ac 0.2265 0.2500 0.0944
Ac2 Ac 0.7735 0.7500 0.9056
La1 La 0.1759 0.2500 0.7187
La2 La 0.8241 0.7500 0.2813
Th1 Th 0.3138 0.7500 0.4183
Th2 Th 0.6862 0.2500 0.5817
Pt1 Pt 0.0473 0.2500 0.4148
Pt2 Pt 0.2373 0.7500 0.9038
Pt3 Pt 0.4584 0.7500 0.6771
Pt4 Pt 0.5416 0.2500 0.3229
Pt5 Pt 0.7627 0.2500 0.0962
Pt6 Pt 0.9527 0.7500 0.5852


# MnInAu6 | Alexandria | PBE | relaxed
# Total moment: 4.31 Bohr magnetons per cell
# Fermi-level density of states: 2.5 states/eV per cell
# SG: P4/mmm
# E above lowest polymorph: 28 meV/atom
# Energy of formation from the pure elements: -63 meV per atom
data_MnInAu6
_space_group_name_H-M_alt 'P 1'
_space_group_IT_number 1
_cell_length_a 4.2314
_cell_length_b 4.2314
_cell_length_c 8.1398
_cell_angle_alpha 90.00
_cell_angle_beta 90.00
_cell_angle_gamma 90.00
loop_
_space_group_symop_operation_xyz
'x,y,z'
loop_
_atom_site_label
_atom_site_type_symbol
_atom_site_fract_x
_atom_site_fract_y
_atom_site_fract_z
Mn1 Mn 0.0000 0.0000 0.0000
In1 In 0.0000 0.0000 0.5000
Au1 Au 0.0000 0.5000 0.2400
Au2 Au 0.0000 0.5000 0.7600
Au3 Au 0.5000 0.0000 0.2400
Au4 Au 0.5000 0.0000 0.7600
Au5 Au 0.5000 0.5000 0.0000
Au6 Au 0.5000 0.5000 0.5000


# La3TmAu4 | Alexandria | PBE | relaxed
# Total moment: 0.00 Bohr magnetons per cell
# Fermi-level density of states: 6.3 states/eV per cell
# SG: P4/mmm
# Energy of formation from the pure elements: -801 meV per atom
data_La3TmAu4
_space_group_name_H-M_alt 'P 1'
_space_group_IT_number 1
_cell_length_a 3.6912
_cell_length_b 3.6912
_cell_length_c 15.1236
_cell_angle_alpha 90.00
_cell_angle_beta 90.00
_cell_angle_gamma 90.00
loop_
_space_group_symop_operation_xyz
'x,y,z'
loop_
_atom_site_label
_atom_site_type_symbol
_atom_site_fract_x
_atom_site_fract_y
_atom_site_fract_z
La1 La 0.0000 0.0000 0.0000
La2 La 0.0000 0.0000 0.2571
La3 La 0.0000 0.0000 0.7429
Tm1 Tm 0.0000 0.0000 0.5000
Au1 Au 0.5000 0.5000 0.1270
Au2 Au 0.5000 0.5000 0.3934
Au3 Au 0.5000 0.5000 0.6066
Au4 Au 0.5000 0.5000 0.8730


# YZn3Au | Alexandria | PBE | relaxed
# Total moment: 0.00 Bohr magnetons per cell
# Fermi-level density of states: 2.1 states/eV per cell
# SG: Pm-3m
# E above lowest polymorph: 420 meV/atom
# Energy of formation from the pure elements: -12 meV per atom
data_YZn3Au
_space_group_name_H-M_alt 'P 1'
_space_group_IT_number 1
_cell_length_a 4.8298
_cell_length_b 4.8298
_cell_length_c 4.8298
_cell_angle_alpha 90.00
_cell_angle_beta 90.00
_cell_angle_gamma 90.00
loop_
_space_group_symop_operation_xyz
'x,y,z'
loop_
_atom_site_label
_atom_site_type_symbol
_atom_site_fract_x
_atom_site_fract_y
_atom_site_fract_z
Y1 Y 0.0000 0.0000 0.0000
Zn1 Zn 0.0000 0.5000 0.5000
Zn2 Zn 0.5000 0.0000 0.5000
Zn3 Zn 0.5000 0.5000 0.0000
Au1 Au 0.5000 0.5000 0.5000


# Mn2IrRu | Alexandria | PBE | relaxed
# Total moment: 0.00 Bohr magnetons per cell
# Fermi-level density of states: 11.8 states/eV per cell
# SG: I-42d
# Energy of formation from the pure elements: 1068 meV per atom
data_Mn2IrRu
_space_group_name_H-M_alt 'P 1'
_space_group_IT_number 1
_cell_length_a 6.5412
_cell_length_b 6.5412
_cell_length_c 6.5412
_cell_angle_alpha 133.57
_cell_angle_beta 133.57
_cell_angle_gamma 67.77
loop_
_space_group_symop_operation_xyz
'x,y,z'
loop_
_atom_site_label
_atom_site_type_symbol
_atom_site_fract_x
_atom_site_fract_y
_atom_site_fract_z
Mn1 Mn 0.1215 0.6250 0.9965
Mn2 Mn 0.3750 0.3715 0.4965
Mn3 Mn 0.6285 0.1250 0.0035
Mn4 Mn 0.8750 0.8785 0.5035
Ir1 Ir 0.2500 0.7500 0.5000
Ir2 Ir 0.5000 0.5000 0.0000
Ru1 Ru 0.0000 0.0000 0.0000
Ru2 Ru 0.7500 0.2500 0.5000